(1)
CaZrIn6 | PBE-GGA | optimized geometry

Computed properties:
Magnetic moment (μB per atom): 0.000
N(E_F) (states/eV/atom): 0.428
Energy of formation from the pure elements (eV per atom): -0.254
Final energy (eV/atom): -3.626

Structure (CIF):
```
data_CaZrIn6
_space_group_name_H-M_alt 'P 1'
_space_group_IT_number 1
_cell_length_a 4.573
_cell_length_b 4.573
_cell_length_c 9.308
_cell_angle_alpha 90.00
_cell_angle_beta 90.00
_cell_angle_gamma 90.00
loop_
_space_group_symop_operation_xyz
'x,y,z'
loop_
_atom_site_label
_atom_site_type_symbol
_atom_site_fract_x
_atom_site_fract_y
_atom_site_fract_z
Ca1 Ca 0.000 0.000 0.000
Zr1 Zr 0.000 0.000 0.500
In1 In 0.000 0.500 0.257
In2 In 0.000 0.500 0.743
In3 In 0.500 0.000 0.257
In4 In 0.500 0.000 0.743
In5 In 0.500 0.500 0.000
In6 In 0.500 0.500 0.500
```



(2)
Pm2PaAgS6 | PBE-GGA | optimized geometry

Computed properties:
Energy relative to the elements, uncorrected (meV/atom): -1272
Magnetic moment (μB per atom): 0.000
Final energy (eV/atom): -5.933

Structure (CIF):
```
data_Pm2PaAgS6
_space_group_name_H-M_alt 'P 1'
_space_group_IT_number 1
_cell_length_a 6.403
_cell_length_b 6.403
_cell_length_c 6.664
_cell_angle_alpha 90.00
_cell_angle_beta 90.00
_cell_angle_gamma 90.00
loop_
_space_group_symop_operation_xyz
'x,y,z'
loop_
_atom_site_label
_atom_site_type_symbol
_atom_site_fract_x
_atom_site_fract_y
_atom_site_fract_z
Pm1 Pm 0.000 0.500 0.000
Pm2 Pm 0.500 0.000 0.000
Pa1 Pa 0.000 0.000 0.598
Ag1 Ag 0.500 0.500 0.512
S1 S 0.000 0.000 0.195
S2 S 0.256 0.256 0.754
S3 S 0.256 0.744 0.754
S4 S 0.500 0.500 0.153
S5 S 0.744 0.256 0.754
S6 S 0.744 0.744 0.754
```



(3)
Pm2PrTm4Th | PBE-GGA | optimized geometry

Computed properties:
Magnetic moment (μB per atom): 0.000
N(E_F) (states/eV/atom): 1.332
Energy of formation from the pure elements (eV per atom): 0.027
Final energy (eV/atom): -4.921

Structure (CIF):
```
data_Pm2PrTm4Th
_space_group_name_H-M_alt 'P 1'
_space_group_IT_number 1
_cell_length_a 5.094
_cell_length_b 5.105
_cell_length_c 9.874
_cell_angle_alpha 90.00
_cell_angle_beta 90.05
_cell_angle_gamma 90.00
loop_
_space_group_symop_operation_xyz
'x,y,z'
loop_
_atom_site_label
_atom_site_type_symbol
_atom_site_fract_x
_atom_site_fract_y
_atom_site_fract_z
Pm1 Pm 0.000 0.000 0.000
Pm2 Pm 0.500 0.500 0.500
Pr1 Pr 0.000 0.000 0.500
Tm1 Tm 0.000 0.500 0.245
Tm2 Tm 0.000 0.500 0.755
Tm3 Tm 0.500 0.000 0.245
Tm4 Tm 0.500 0.000 0.755
Th1 Th 0.500 0.500 0.000
```



(4)
La2TbPm6Er3 | PBE-GGA | optimized geometry

Computed properties:
Magnetic moment (μB per atom): 0.000
N(E_F) (states/eV/atom): 1.418
Energy of formation from the pure elements (eV per atom): 0.021
Final energy (eV/atom): -4.702

Structure (CIF):
```
data_La2TbPm6Er3
_space_group_name_H-M_alt 'P 1'
_space_group_IT_number 1
_cell_length_a 6.287
_cell_length_b 6.287
_cell_length_c 11.988
_cell_angle_alpha 95.02
_cell_angle_beta 95.02
_cell_angle_gamma 120.02
loop_
_space_group_symop_operation_xyz
'x,y,z'
loop_
_atom_site_label
_atom_site_type_symbol
_atom_site_fract_x
_atom_site_fract_y
_atom_site_fract_z
La1 La 0.167 0.833 0.000
La2 La 0.833 0.167 0.000
Tb1 Tb 0.500 0.500 0.000
Pm1 Pm 0.083 0.415 0.744
Pm2 Pm 0.253 0.253 0.256
Pm3 Pm 0.415 0.083 0.744
Pm4 Pm 0.585 0.917 0.256
Pm5 Pm 0.747 0.747 0.744
Pm6 Pm 0.917 0.585 0.256
Er1 Er 0.000 0.000 0.500
Er2 Er 0.334 0.666 0.500
Er3 Er 0.666 0.334 0.500
```



(5)
CuAg3Te2 | PBE-GGA | optimized geometry

Computed properties:
Energy relative to the elements, uncorrected (meV/atom): 6
Magnetic moment (μB per atom): 0.000
N(E_F) (states/eV/atom): 0.135
Final energy (eV/atom): -3.149

Structure (CIF):
```
data_CuAg3Te2
_space_group_name_H-M_alt 'P 1'
_space_group_IT_number 1
_cell_length_a 4.444
_cell_length_b 8.505
_cell_length_c 9.180
_cell_angle_alpha 115.81
_cell_angle_beta 103.61
_cell_angle_gamma 91.51
loop_
_space_group_symop_operation_xyz
'x,y,z'
loop_
_atom_site_label
_atom_site_type_symbol
_atom_site_fract_x
_atom_site_fract_y
_atom_site_fract_z
Cu1 Cu 0.089 0.454 0.122
Cu2 Cu 0.911 0.546 0.878
Ag1 Ag 0.177 0.274 0.316
Ag2 Ag 0.289 0.123 0.565
Ag3 Ag 0.493 0.313 0.924
Ag4 Ag 0.507 0.687 0.076
Ag5 Ag 0.711 0.877 0.435
Ag6 Ag 0.823 0.726 0.684
Te1 Te 0.092 0.914 0.213
Te2 Te 0.328 0.512 0.701
Te3 Te 0.672 0.488 0.299
Te4 Te 0.908 0.086 0.787
```



(6)
LiGdSn | PBE-GGA | optimized geometry

Computed properties:
Magnetic moment (μB per atom): 2.339
Energy of formation from the pure elements (eV per atom): -0.438
Final energy (eV/atom): -7.104

Structure (CIF):
```
data_LiGdSn
_space_group_name_H-M_alt 'P 1'
_space_group_IT_number 1
_cell_length_a 4.992
_cell_length_b 4.992
_cell_length_c 4.992
_cell_angle_alpha 60.00
_cell_angle_beta 60.00
_cell_angle_gamma 60.00
loop_
_space_group_symop_operation_xyz
'x,y,z'
loop_
_atom_site_label
_atom_site_type_symbol
_atom_site_fract_x
_atom_site_fract_y
_atom_site_fract_z
Li1 Li 0.000 0.000 0.000
Gd1 Gd 0.500 0.500 0.500
Sn1 Sn 0.250 0.250 0.250
```



(7)
CsErTl2 | PBE-GGA | optimized geometry

Computed properties:
Magnetic moment (μB per atom): 0.000
N(E_F) (states/eV/atom): 1.050
Energy of formation from the pure elements (eV per atom): 0.008
Final energy (eV/atom): -2.529

Structure (CIF):
```
data_CsErTl2
_space_group_name_H-M_alt 'P 1'
_space_group_IT_number 1
_cell_length_a 11.407
_cell_length_b 11.407
_cell_length_c 11.407
_cell_angle_alpha 19.32
_cell_angle_beta 19.32
_cell_angle_gamma 19.32
loop_
_space_group_symop_operation_xyz
'x,y,z'
loop_
_atom_site_label
_atom_site_type_symbol
_atom_site_fract_x
_atom_site_fract_y
_atom_site_fract_z
Cs1 Cs 0.000 0.000 0.000
Er1 Er 0.500 0.500 0.500
Tl1 Tl 0.238 0.238 0.238
Tl2 Tl 0.762 0.762 0.762
```



(8)
Er2SbRh | PBE-GGA | optimized geometry

Computed properties:
Energy relative to the elements, uncorrected (meV/atom): -828
Magnetic moment (μB per atom): 0.000
N(E_F) (states/eV/atom): 0.097
Final energy (eV/atom): -5.978

Structure (CIF):
```
data_Er2SbRh
_space_group_name_H-M_alt 'P 1'
_space_group_IT_number 1
_cell_length_a 3.513
_cell_length_b 3.513
_cell_length_c 7.470
_cell_angle_alpha 90.00
_cell_angle_beta 90.00
_cell_angle_gamma 90.00
loop_
_space_group_symop_operation_xyz
'x,y,z'
loop_
_atom_site_label
_atom_site_type_symbol
_atom_site_fract_x
_atom_site_fract_y
_atom_site_fract_z
Er1 Er 0.000 0.000 0.220
Er2 Er 0.000 0.000 0.780
Sb1 Sb 0.500 0.500 0.500
Rh1 Rh 0.500 0.500 0.000
```